*w*
Computed, not measured: a relaxed CsIF3 crystal at the GGA-PBE level of DFT.

Structure (CIF):
```
data_CsIF3
_chemical_formula_sum 'Cs1 I1 F3'
_cell_length_a 4.735
_cell_length_b 4.735
_cell_length_c 4.735
_cell_angle_alpha 90.00
_cell_angle_beta 90.00
_cell_angle_gamma 90.00
_symmetry_space_group_name_H-M 'P m -3 m'
_symmetry_Int_Tables_number 221
_symmetry_space_group_name_Hall '-P 4 2 3'
loop_
_atom_site_label
_atom_site_type_symbol
_atom_site_fract_x
_atom_site_fract_y
_atom_site_fract_z
_atom_site_occupancy
Cs1 Cs 0.000 0.000 0.000 1
I1 I 0.500 0.500 0.500 1
F1 F 0.000 0.500 0.500 1
```

Values from the calculation:
For the density, the calculation gives 5.0 g/cm³.



*x*
Computed, not measured: a relaxed CsIF3 crystal at the GGA-PBE level of DFT.

Structure (CIF):
```
data_CsIF3
_chemical_formula_sum 'Cs3 I3 F9'
_cell_length_a 8.0555
_cell_length_b 8.0555
_cell_length_c 10.3673
_cell_angle_alpha 90.00
_cell_angle_beta 90.00
_cell_angle_gamma 120.00
_symmetry_space_group_name_H-M 'R 3 m'
_symmetry_Int_Tables_number 160
_symmetry_space_group_name_Hall 'R 3 -2"'
loop_
_atom_site_label
_atom_site_type_symbol
_atom_site_fract_x
_atom_site_fract_y
_atom_site_fract_z
_atom_site_occupancy
Cs1 Cs 0.0000 0.0000 0.0000 1
I1 I 0.0000 0.0000 0.3735 1
F1 F 0.2000 0.3999 0.9138 1
```

Values from the calculation:
For the density, the calculation gives 2.7 g/cm³.



Energy ordering: *w* at the bottom, the next structure 15.9 kJ/mol of atoms above.